Record 1
Compound: LiFe2CuN
Source: Alexandria
Functional: PBE-GGA
Structure: relaxed

Properties
crystal system	tetragonal
ΔE_f (raw)	-88.9	meV/atom

Cell lengths 3.648, 3.648, 3.957 Å; angles 90.00, 90.00, 90.00 degrees
Space group P4/mmm (No. 123)
Asymmetric unit:
Li1 0.000 0.000 0.000
Fe1 0.000 0.500 0.500
Cu1 0.500 0.500 0.000
N1 0.000 0.000 0.500

Record 2
Compound: LiNbFe2Cu
Source: Alexandria
Functional: PBE-GGA
Structure: relaxed

Properties
formation energy	1166	meV per atom
crystal system	tetragonal

Cell lengths 3.950, 3.950, 4.399 Å; angles 90.00, 90.00, 90.00 degrees
Space group P4/mmm (No. 123)
Asymmetric unit:
Li1 0.000 0.000 0.000
Nb1 0.000 0.000 0.500
Fe1 0.000 0.500 0.000
Cu1 0.500 0.500 0.500

Copy entry 1 word for word.
Compound: LiFe2CuN
Source: Alexandria
Functional: PBE-GGA
Structure: relaxed

Properties
crystal system	tetragonal
ΔE_f (raw)	-88.9	meV/atom

Cell lengths 3.648, 3.648, 3.957 Å; angles 90.00, 90.00, 90.00 degrees
Space group P4/mmm (No. 123)
Asymmetric unit:
Li1 0.000 0.000 0.000
Fe1 0.000 0.500 0.500
Cu1 0.500 0.500 0.000
N1 0.000 0.000 0.500

Copy entry 1 word for word.
Compound: LiFe2CuN
Source: Alexandria
Functional: PBE-GGA
Structure: relaxed

Properties
crystal system	tetragonal
ΔE_f (raw)	-88.9	meV/atom

Cell lengths 3.648, 3.648, 3.957 Å; angles 90.00, 90.00, 90.00 degrees
Space group P4/mmm (No. 123)
Asymmetric unit:
Li1 0.000 0.000 0.000
Fe1 0.000 0.500 0.500
Cu1 0.500 0.500 0.000
N1 0.000 0.000 0.500

- Number 1 is which compound?
  LiFe2CuN